## Er3Tm3Mg (PBE-GGA)

Data for crystalline Er3Tm3Mg at its relaxed geometry.

The crystal system is hexagonal. The calculation puts the density at 8.31 g/cm3. The total energy comes out at -4.08 eV/atom. For the magnetic moment, the calculation gives 0.084 μB/atom.

The space group is P6_3/m (No. 176) and the conventional cell measures 9.2831, 9.2831 and 5.5306 Å, with angles of 90.00, 90.00 and 120.00 degrees. Symmetry generates all atoms from Er at (0.0557, 0.8149, 0.2500), Tm at (0.1019, 0.6247, 0.7500) and Mg at (0.3333, 0.6667, 0.2500).